Record 1
Ti3MnSb after structural relaxation, computed with GGA-PBE.

Properties
calculated total energy = -7.31 eV per atom
ΔE_f (raw) = 8.4 kJ/mol of atoms
offset from the most stable computed form = 0 kJ/mol of formula units
crystal system = cubic
magnetic moment = 0.00 μB/atom

Lattice parameters (Å, degrees): 4.5103 4.5103 4.5103 90.00 90.00 90.00
Closest atoms and distances in Å follow each position.
Space group Pm-3m (No. 221)
Unique sites:
Ti 0.0000 0.0000 0.5000 x3  2 Mn 2.26
Mn 0.0000 0.0000 0.0000 x1  6 Ti 2.26
Sb 0.5000 0.5000 0.5000 x1  12 Ti 3.19

Record 2
SrPm2Sn2 after structural relaxation, computed with GGA-PBE.

Properties
calculated total energy = -4.43 eV per atom
ΔE_f = -57 kJ/mol of atoms
crystal system = monoclinic
magnetic moment = 0.00 μB/atom

Lattice parameters (Å, degrees): 16.1367 5.5720 9.6531 90.00 126.71 90.00
Closest atoms and distances in Å follow each position.
Space group C2/m (No. 12)
Unique sites:
Sr 0.2497 0.0000 0.2498 x4  6 Sn 3.53-3.54, 6 Pm 3.71
Pm 0.1066 0.0000 0.4401 x4  5 Sn 3.15-3.32
Pm 0.1066 0.5000 0.9398 x4  5 Sn 3.15-3.32
Sn 0.1371 0.0000 0.8036 x4  5 Pm 3.15-3.32
Sn 0.1370 0.5000 0.3036 x4  5 Pm 3.15-3.32

Record 3
YIn2Sb2 after structural relaxation, computed with GGA-PBE.

Properties
calculated total energy = -4.00 eV per atom
ΔE_f (raw) = 3.3 kJ/mol of atoms
crystal system = tetragonal
magnetic moment = 0.00 μB/atom

Lattice parameters (Å, degrees): 4.4000 4.4000 15.3839 90.00 90.00 90.00
Closest atoms and distances in Å follow each position.
Space group I4/mmm (No. 139)
Unique sites:
Y 0.0000 0.0000 0.0000 x2  8 In 3.43
In 0.0000 0.0000 0.4060 x4  1 In 2.89
Sb 0.0000 0.5000 0.2500 x4  4 Sb 3.11, 4 In 3.26